Entry from the Alexandria database: crystalline NbCr4Sb at its relaxed geometry (PBE-GGA).

The crystal system is cubic. The value obtained for the density of states at the Fermi level is 0.85 states/eV per atom. Its formation energy without anion corrections is 0.08 eV/atom.

The structure belongs to space group F-43m (No. 216); the cell edges are 6.967, 6.967 and 6.967 Å and the angles 90.00°, 90.00° and 90.00°. The inequivalent atoms are Nb at (0.000, 0.000, 0.000), Cr at (0.125, 0.125, 0.375) and Sb at (0.250, 0.250, 0.750).